1.
Density functional theory data (PBE) for an optimized crystal structure of K2U2VSe6.

abc: 6.922 6.922 8.270
angles: 98.33 98.33 119.48
Element x y z (fractional)
K 0.171 0.829 0.000
K 0.829 0.171 0.000
U 0.333 0.667 0.500
U 0.667 0.333 0.500
V 0.000 0.000 0.500
Se 0.069 0.383 0.697
Se 0.245 0.245 0.304
Se 0.383 0.069 0.697
Se 0.617 0.931 0.303
Se 0.755 0.755 0.696
Se 0.931 0.617 0.303

Space group   No. 12
DFT total energy   -67.297 eV/cell
Formation energy without anion corrections   -1.1363 eV/atom

2.
Density functional theory data (PBE) for an optimized crystal structure of Tb7Cd2Ir2.

abc: 6.818 6.818 7.165
angles: 90.00 90.00 106.37
Element x y z (fractional)
Tb 0.000 0.000 0.000
Tb 0.000 0.500 0.249
Tb 0.000 0.500 0.751
Tb 0.500 0.000 0.249
Tb 0.500 0.000 0.751
Tb 0.500 0.500 0.243
Tb 0.500 0.500 0.757
Cd 0.176 0.176 0.500
Cd 0.824 0.824 0.500
Ir 0.287 0.713 0.000
Ir 0.713 0.287 0.000

Space group   No. 65
Formation energy   -0.40 eV/atom
DFT total energy   -56.328 eV/cell

3.
Density functional theory data (PBE) for an optimized crystal structure of Bi2H2O5.

abc: 8.580 8.580 8.580
angles: 61.12 145.18 131.45
Element x y z (fractional)
Bi 0.033 0.120 0.154
Bi 0.033 0.380 0.413
Bi 0.967 0.620 0.587
Bi 0.967 0.880 0.846
H 0.007 0.002 0.505
H 0.496 0.502 0.495
H 0.501 0.001 0.500
H 0.501 0.501 0.000
O 0.007 0.084 0.587
O 0.007 0.920 0.423
O 0.151 0.748 0.903
O 0.265 0.508 0.771
O 0.265 0.994 0.257
O 0.497 0.420 0.413
O 0.497 0.584 0.577
O 0.738 0.008 0.743
O 0.738 0.494 0.229
O 0.845 0.248 0.097

Space group   No. 46
DFT total energy   -93.428 eV/cell

4.
Density functional theory data (PBE) for an optimized crystal structure of CrFe2As.

abc: 3.018 3.953 8.157
angles: 90.00 90.00 90.00
Element x y z (fractional)
Cr 0.000 0.000 0.000
Cr 0.500 0.500 0.500
Fe 0.000 0.500 0.239
Fe 0.000 0.500 0.761
Fe 0.500 0.000 0.261
Fe 0.500 0.000 0.739
As 0.000 0.000 0.500
As 0.500 0.500 0.000

Space group   No. 71
Formation energy   0.05 eV/atom
DFT total energy   -61.996 eV/cell

5.
Density functional theory data (PBE) for an optimized crystal structure of CaPr15Nd4.

abc: 5.264 5.264 26.183
angles: 90.00 90.00 90.00
Element x y z (fractional)
Ca 0.000 0.000 0.000
Pr 0.000 0.500 0.102
Pr 0.000 0.500 0.300
Pr 0.000 0.500 0.500
Pr 0.000 0.500 0.700
Pr 0.000 0.500 0.898
Pr 0.500 0.000 0.102
Pr 0.500 0.000 0.300
Pr 0.500 0.000 0.500
Pr 0.500 0.000 0.700
Pr 0.500 0.000 0.898
Pr 0.500 0.500 0.000
Pr 0.500 0.500 0.200
Pr 0.500 0.500 0.400
Pr 0.500 0.500 0.600
Pr 0.500 0.500 0.800
Nd 0.000 0.000 0.200
Nd 0.000 0.000 0.400
Nd 0.000 0.000 0.600
Nd 0.000 0.000 0.800

Space group   No. 123
Formation energy   0.02 eV/atom
DFT total energy   -92.381 eV/cell

6.
Density functional theory data (PBE) for an optimized crystal structure of AlOsAu2.

abc: 2.785 3.967 5.823
angles: 90.00 90.00 90.00
Element x y z (fractional)
Al 0.000 0.000 0.000
Os 0.000 0.000 0.500
Au 0.500 0.500 0.244
Au 0.500 0.500 0.756

Space group   No. 47
Formation energy   0.27 eV/atom
DFT total energy   -20.432 eV/cell

7.
Density functional theory data (PBE) for an optimized crystal structure of Ce5Sb3As.

abc: 9.798 9.798 9.798
angles: 130.25 130.25 73.01
Element x y z (fractional)
Ce 0.000 0.000 0.000
Ce 0.047 0.547 0.871
Ce 0.176 0.047 0.500
Ce 0.324 0.824 0.871
Ce 0.453 0.324 0.500
Ce 0.500 0.500 0.000
Ce 0.547 0.676 0.500
Ce 0.676 0.176 0.129
Ce 0.824 0.953 0.500
Ce 0.953 0.453 0.129
Sb 0.128 0.372 0.500
Sb 0.250 0.250 0.000
Sb 0.372 0.872 0.244
Sb 0.628 0.128 0.756
Sb 0.750 0.750 0.000
Sb 0.872 0.628 0.500
As 0.250 0.750 0.500
As 0.750 0.250 0.500

Space group   No. 140
DFT total energy   -108.003 eV/cell
Formation energy without anion corrections   -0.8128 eV/atom

8.
Density functional theory data (PBE) for an optimized crystal structure of ReNi2HgN.

abc: 4.010 4.010 3.956
angles: 90.00 90.00 90.00
Element x y z (fractional)
Re 0.000 0.000 0.000
Ni 0.000 0.500 0.500
Ni 0.500 0.000 0.500
Hg 0.500 0.500 0.000
N 0.000 0.000 0.500

Space group   No. 123
DFT total energy   -31.471 eV/cell
Formation energy without anion corrections   0.2333 eV/atom

9.
Density functional theory data (PBE) for an optimized crystal structure of LuMg2Pa.

abc: 3.187 3.187 9.800
angles: 90.00 90.00 90.00
Element x y z (fractional)
Lu 0.000 0.000 0.000
Mg 0.500 0.500 0.248
Mg 0.500 0.500 0.752
Pa 0.000 0.000 0.500

Space group   No. 123
Formation energy   0.17 eV/atom
DFT total energy   -16.541 eV/cell

10.
Density functional theory data (PBE) for an optimized crystal structure of TaCu2Re.

abc: 9.008 2.656 4.867
angles: 90.00 97.68 90.00
Element x y z (fractional)
Ta 0.000 0.000 0.000
Ta 0.500 0.500 0.000
Cu 0.005 0.500 0.512
Cu 0.249 0.000 0.740
Cu 0.505 0.000 0.512
Cu 0.749 0.500 0.740
Re 0.261 0.500 0.265
Re 0.761 0.000 0.265

Space group   No. 8
Formation energy   0.19 eV/atom
DFT total energy   -63.483 eV/cell
Energy above the lowest structure with this stoichiometry   86 meV/atom

11.
Density functional theory data (PBE) for an optimized crystal structure of CdAg2Sn.

abc: 4.378 4.378 4.310
angles: 90.00 90.00 90.00
Element x y z (fractional)
Cd 0.000 0.000 0.000
Ag 0.000 0.500 0.500
Ag 0.500 0.000 0.500
Sn 0.500 0.500 0.000

Space group   No. 123
Formation energy   0.02 eV/atom
DFT total energy   -10.536 eV/cell

12.
Density functional theory data (PBE) for an optimized crystal structure of Y2MoOs2.

abc: 6.642 6.642 4.736
angles: 90.00 90.00 90.00
Element x y z (fractional)
Y 0.180 0.320 0.000
Y 0.320 0.820 0.000
Y 0.680 0.180 0.000
Y 0.820 0.680 0.000
Mo 0.000 0.000 0.500
Mo 0.500 0.500 0.500
Os 0.130 0.630 0.500
Os 0.370 0.130 0.500
Os 0.630 0.870 0.500
Os 0.870 0.370 0.500

Space group   No. 127
Formation energy   -0.05 eV/atom
DFT total energy   -92.953 eV/cell